Entry 1:
A plane-wave DFT calculation with PBE was carried out for a relaxed structure of KBaAu3.

The structure in CIF format:
```
data_KBaAu3
_cell_length_a 6.233
_cell_length_b 6.233
_cell_length_c 6.233
_cell_angle_alpha 90.00
_cell_angle_beta 90.00
_cell_angle_gamma 90.00
_symmetry_space_group_name_H-M 'P m -3 m'
_symmetry_Int_Tables_number 221
_symmetry_space_group_name_Hall '-P 4 2 3'
loop_
_atom_site_label
_atom_site_type_symbol
_atom_site_fract_x
_atom_site_fract_y
_atom_site_fract_z
K1 K 0.000 0.000 0.000
Ba1 Ba 0.500 0.500 0.500
Au1 Au 0.000 0.500 0.500
```

Computed properties:
Energy of formation from the pure elements: -0.124 eV per atom
Polymorph energy (0 for the lowest one): 433 meV per atom

Entry 2:
A plane-wave DFT calculation with PBE was carried out for a relaxed structure of GdPaFeRh.

The structure in CIF format:
```
data_GdPaFeRh
_cell_length_a 6.822
_cell_length_b 6.822
_cell_length_c 6.822
_cell_angle_alpha 90.00
_cell_angle_beta 90.00
_cell_angle_gamma 90.00
_symmetry_space_group_name_H-M 'F -4 3 m'
_symmetry_Int_Tables_number 216
_symmetry_space_group_name_Hall 'F -4 2 3'
loop_
_atom_site_label
_atom_site_type_symbol
_atom_site_fract_x
_atom_site_fract_y
_atom_site_fract_z
Gd1 Gd 0.000 0.000 0.000
Pa1 Pa 0.000 0.000 0.500
Fe1 Fe 0.250 0.250 0.250
Rh1 Rh 0.250 0.250 0.750
```

Computed properties:
Energy of formation from the pure elements: -0.246 eV per atom

Entry 3:
A plane-wave DFT calculation with PBE was carried out for a relaxed structure of Lu3Mn.

The structure in CIF format:
```
data_Lu3Mn
_cell_length_a 3.558
_cell_length_b 5.234
_cell_length_c 10.794
_cell_angle_alpha 90.00
_cell_angle_beta 90.00
_cell_angle_gamma 90.00
_symmetry_space_group_name_H-M 'I m m m'
_symmetry_Int_Tables_number 71
_symmetry_space_group_name_Hall '-I 2 2'
loop_
_atom_site_label
_atom_site_type_symbol
_atom_site_fract_x
_atom_site_fract_y
_atom_site_fract_z
Lu1 Lu 0.000 0.000 0.000
Lu2 Lu 0.000 0.500 0.209
Mn1 Mn 0.000 0.000 0.500
```

Computed properties:
Energy of formation from the pure elements: 0.124 eV per atom

Number 1: DOS(E_F) 0.00 states/eV/atom. Number 2: DOS(E_F) 1.22 states/eV/atom. Number 3: DOS(E_F) 1.55 states/eV/atom.